Compound: CuCl3
Source: the Alexandria database
Functional: PBE
Structure: relaxed

a b c (Å): 5.500 5.500 4.292
angles (deg): 90.00 90.00 132.11
Element x y z (fractional)
Cu (0.000, 0.000, 0.000)
Cl (0.223, 0.777, 0.500)
Cl (0.500, 0.500, 0.000)
Cl (0.777, 0.223, 0.500)

The uncorrected formation energy comes out at -65 meV per atom. The electronic total energy comes out at -2.4739 eV/atom. Its space group is Cmmm, No. 65.